CsNbI | PBE-GGA | optimized geometry

Unit cell a=5.376 b=6.482 c=9.357 alpha=69.96 beta=89.95 gamma=90.00
Fractional coordinates of all 6 atoms:
1 Cs 0.999 0.861 0.876
2 Nb 0.499 0.287 0.026
3 Nb 0.499 0.407 0.784
4 I 0.999 0.470 0.655
5 Cs 0.500 0.639 0.324
6 I 0.998 0.226 0.149

Values from the calculation:
size of the total moment: 0.00 μB per formula unit
space-group type: P1 (1)
formation energy from raw total energies: 138.2 meV per atom

CsNb6I11 | PBE-GGA | optimized geometry

Unit cell a=11.276 b=11.276 c=12.076 alpha=90.00 beta=90.00 gamma=120.00
Fractional coordinates of all 36 atoms:
1 I 0.667 0.333 0.046
2 I 0.333 0.667 0.546
3 I 0.973 0.349 0.842
4 I 0.287 0.000 0.500
5 Nb 0.323 0.805 0.348
6 I 0.667 0.333 0.454
7 I 0.027 0.376 0.158
8 I 0.027 0.651 0.342
9 I 0.973 0.624 0.658
10 Nb 0.195 0.677 0.152
11 Cs 0.000 0.000 0.250
12 Nb 0.195 0.519 0.348
13 I 0.624 0.651 0.158
14 I 0.651 0.624 0.842
15 I 0.713 0.000 0.000
16 Nb 0.481 0.805 0.152
17 I 0.624 0.973 0.342
18 I 0.287 0.287 0.000
19 Nb 0.677 0.481 0.652
20 I 0.333 0.667 0.954
21 Nb 0.805 0.481 0.848
22 I 0.376 0.349 0.658
23 I 0.349 0.973 0.158
24 I 0.376 0.027 0.842
25 Nb 0.677 0.195 0.848
26 Cs 0.000 0.000 0.750
27 Nb 0.519 0.323 0.848
28 I 0.349 0.376 0.342
29 I 0.000 0.713 0.000
30 I 0.000 0.287 0.500
31 Nb 0.805 0.323 0.652
32 Nb 0.323 0.519 0.152
33 Nb 0.481 0.677 0.348
34 I 0.713 0.713 0.500
35 I 0.651 0.027 0.658
36 Nb 0.519 0.195 0.652

Values from the calculation:
size of the total moment: 2.14 μB per formula unit
space-group type: P6_322 (182)
formation energy from raw total energies: -561.5 meV per atom

CsNb3I | PBE-GGA | optimized geometry

Unit cell a=5.244 b=5.244 c=5.244 alpha=90.00 beta=90.00 gamma=90.00
Fractional coordinates of all 5 atoms:
1 Nb 0.500 0.000 0.000
2 Nb 0.000 0.000 0.500
3 Nb 0.000 0.500 0.000
4 I 0.000 0.000 0.000
5 Cs 0.500 0.500 0.500

Values from the calculation:
size of the total moment: 2.51 μB per formula unit
space-group type: Pm-3m (221)
formation energy from raw total energies: 1911.8 meV per atom

CsNbI | PBE-GGA | optimized geometry

Unit cell a=3.788 b=6.065 c=9.999 alpha=72.36 beta=88.96 gamma=87.46
Fractional coordinates of all 6 atoms:
1 I 0.996 0.885 0.230
2 Nb 0.843 0.342 0.000
3 I 0.004 0.115 0.770
4 Cs 0.494 0.321 0.358
5 Nb 0.157 0.658 0.000
6 Cs 0.506 0.679 0.642

Values from the calculation:
size of the total moment: 0.00 μB per formula unit
space-group type: P-1 (2)
formation energy from raw total energies: 125.7 meV per atom

CsNbI | PBE-GGA | optimized geometry

Unit cell a=3.754 b=6.924 c=9.377 alpha=98.87 beta=99.91 gamma=98.34
Fractional coordinates of all 6 atoms:
1 Cs 0.841 0.802 0.649
2 I 0.497 0.249 0.566
3 I 0.943 0.633 0.272
4 Nb 0.493 0.937 0.158
5 Cs 0.222 0.369 0.949
6 Nb 0.873 0.196 0.297

Values from the calculation:
size of the total moment: 0.00 μB per formula unit
space-group type: P1 (1)
formation energy from raw total energies: 131.0 meV per atom

Cs3NbI | PBE-GGA | optimized geometry

Unit cell a=7.178 b=7.178 c=7.178 alpha=90.00 beta=90.00 gamma=90.00
Fractional coordinates of all 5 atoms:
1 Nb 0.000 0.000 0.000
2 Cs 0.000 0.500 0.000
3 Cs 0.000 0.000 0.500
4 I 0.500 0.500 0.500
5 Cs 0.500 0.000 0.000

Values from the calculation:
size of the total moment: 5.10 μB per formula unit
space-group type: Pm-3m (221)
formation energy from raw total energies: 487.4 meV per atom

Cs2NbI8 | PBE-GGA | optimized geometry

Unit cell a=6.642 b=10.203 c=10.203 alpha=76.59 beta=79.91 gamma=79.91
Fractional coordinates of all 11 atoms:
1 I 0.209 0.224 0.912
2 I 0.209 0.912 0.224
3 I 0.791 0.088 0.776
4 I 0.745 0.501 0.501
5 I 0.791 0.776 0.088
6 I 0.315 0.849 0.849
7 Cs 0.892 0.715 0.715
8 I 0.685 0.151 0.151
9 I 0.255 0.499 0.499
10 Nb 0.000 0.000 0.000
11 Cs 0.108 0.285 0.285

Values from the calculation:
size of the total moment: 0.16 μB per formula unit
space-group type: C2/m (12)
formation energy from raw total energies: -744.0 meV per atom

Cs3NbI7 | PBE-GGA | optimized geometry

Unit cell a=8.752 b=8.752 c=9.592 alpha=63.05 beta=63.05 gamma=85.36
Fractional coordinates of all 11 atoms:
1 I 0.291 0.989 0.737
2 I 0.123 0.656 0.187
3 Nb 0.953 0.953 0.044
4 Cs 0.220 0.770 0.493
5 I 0.679 0.679 0.414
6 I 0.656 0.123 0.187
7 Cs 0.513 0.513 0.905
8 I 0.801 0.801 0.924
9 Cs 0.770 0.220 0.493
10 I 0.989 0.291 0.737
11 I 0.131 0.131 0.128

Values from the calculation:
size of the total moment: 0.96 μB per formula unit
space-group type: Cm (8)
formation energy from raw total energies: -939.8 meV per atom

CsNbI | PBE-GGA | optimized geometry

Unit cell a=3.675 b=3.703 c=8.708 alpha=102.00 beta=90.13 gamma=119.54
Fractional coordinates of all 3 atoms:
1 Nb 0.938 0.991 0.543
2 Cs 0.144 0.398 0.169
3 I 0.677 0.469 0.759

Values from the calculation:
size of the total moment: 1.01 μB per formula unit
space-group type: P1 (1)
formation energy from raw total energies: 587.0 meV per atom

Cs2Nb3I9 | PBE-GGA | optimized geometry

Unit cell a=11.606 b=11.538 c=11.538 alpha=114.74 beta=104.47 gamma=104.47
Fractional coordinates of all 28 atoms:
1 I 0.188 0.897 0.507
2 I 0.222 0.241 0.241
3 I 0.197 0.071 0.872
4 Cs 0.828 0.762 0.450
5 I 0.812 0.493 0.103
6 Nb 0.376 0.803 0.959
7 I 0.778 0.759 0.759
8 Cs 0.828 0.450 0.762
9 Cs 0.172 0.238 0.550
10 Nb 0.624 0.041 0.197
11 I 0.803 0.128 0.929
12 I 0.812 0.103 0.493
13 Nb 0.388 0.097 0.097
14 Cs 0.172 0.550 0.238
15 I 0.180 0.692 0.692
16 Nb 0.376 0.959 0.803
17 I 0.515 0.377 0.175
18 I 0.803 0.929 0.128
19 I 0.820 0.308 0.308
20 Nb 0.624 0.197 0.041
21 I 0.500 0.799 0.201
22 I 0.485 0.825 0.623
23 I 0.485 0.623 0.825
24 I 0.188 0.507 0.897
25 I 0.197 0.872 0.071
26 I 0.515 0.175 0.377
27 Nb 0.612 0.903 0.903
28 I 0.500 0.201 0.799

Values from the calculation:
size of the total moment: 0.00 μB per formula unit
space-group type: C2/m (12)
formation energy from raw total energies: -788.2 meV per atom

CsNbI5 | PBE-GGA | optimized geometry

Unit cell a=9.079 b=9.079 c=11.939 alpha=83.83 beta=117.51 gamma=122.27
Fractional coordinates of all 14 atoms:
1 Cs 0.764 0.514 0.250
2 I 0.330 0.080 0.250
3 Nb 0.500 0.000 0.500
4 I 0.249 0.080 0.896
5 I 0.129 0.356 0.036
6 I 0.820 0.093 0.464
7 I 0.670 0.920 0.750
8 I 0.751 0.920 0.104
9 I 0.180 0.907 0.536
10 Cs 0.236 0.486 0.750
11 I 0.684 0.353 0.604
12 Nb 0.000 0.000 0.000
13 I 0.871 0.644 0.964
14 I 0.316 0.647 0.396

Values from the calculation:
size of the total moment: 1.00 μB per formula unit
space-group type: C2/c (15)
formation energy from raw total energies: -696.8 meV per atom

CsNbI6 | PBE-GGA | optimized geometry

Unit cell a=9.399 b=9.399 c=9.399 alpha=60.00 beta=60.00 gamma=60.00
Fractional coordinates of all 8 atoms:
1 I 0.791 0.209 0.791
2 I 0.209 0.209 0.791
3 I 0.791 0.209 0.209
4 Nb 0.000 0.000 0.000
5 I 0.209 0.791 0.791
6 I 0.791 0.791 0.209
7 I 0.209 0.791 0.209
8 Cs 0.500 0.500 0.500

Values from the calculation:
size of the total moment: 0.00 μB per formula unit
space-group type: Fm-3m (225)
formation energy from raw total energies: -633.7 meV per atom

Cs2NbNiI6 | PBE-GGA | optimized geometry

Unit cell a=8.128 b=8.128 c=8.138 alpha=60.04 beta=60.04 gamma=90.00
Fractional coordinates of all 10 atoms:
1 Cs 0.750 0.250 0.500
2 I 0.748 0.252 0.000
3 Nb 0.000 0.000 0.000
4 I 0.749 0.749 0.503
5 Cs 0.250 0.750 0.500
6 I 0.251 0.251 0.497
7 I 0.252 0.252 0.000
8 Ni 0.500 0.500 0.000
9 I 0.748 0.748 0.000
10 I 0.252 0.748 0.000

Values from the calculation:
size of the total moment: 2.97 μB per formula unit
space-group type: I4/mmm (139)
formation energy from raw total energies: -641.5 meV per atom

CsNbI2O | PBE-GGA | optimized geometry

Unit cell a=6.220 b=6.220 c=4.027 alpha=90.00 beta=90.00 gamma=90.00
Fractional coordinates of all 5 atoms:
1 Nb 0.000 0.000 0.000
2 I 0.000 0.500 0.000
3 O 0.000 0.000 0.500
4 Cs 0.500 0.500 0.500
5 I 0.500 0.000 0.000

Values from the calculation:
size of the total moment: 1.99 μB per formula unit
space-group type: P4/mmm (123)
formation energy from raw total energies: -1121.5 meV per atom

CsNbI2O | PBE-GGA | optimized geometry

Unit cell a=6.723 b=6.723 c=4.326 alpha=90.00 beta=90.00 gamma=90.00
Fractional coordinates of all 5 atoms:
1 O 0.000 0.000 0.500
2 Cs 0.000 0.000 0.000
3 I 0.000 0.500 0.000
4 Nb 0.500 0.500 0.500
5 I 0.500 0.000 0.000

Values from the calculation:
size of the total moment: 3.20 μB per formula unit
space-group type: P4/mmm (123)
formation energy from raw total energies: 855.8 meV per atom

Cs2NbPbI | PBE-GGA | optimized geometry

Unit cell a=7.443 b=5.492 c=7.443 alpha=90.00 beta=90.00 gamma=90.00
Fractional coordinates of all 5 atoms:
1 Cs 0.000 0.000 0.500
2 Cs 0.500 0.000 0.000
3 Pb 0.000 0.000 0.000
4 I 0.500 0.500 0.500
5 Nb 0.000 0.500 0.000

Values from the calculation:
size of the total moment: 2.81 μB per formula unit
space-group type: P4/mmm (123)
formation energy from raw total energies: 332.6 meV per atom

Cs2NbPtI6 | PBE-GGA | optimized geometry

Unit cell a=7.978 b=7.978 c=8.548 alpha=62.18 beta=62.18 gamma=90.00
Fractional coordinates of all 10 atoms:
1 Nb 0.500 0.500 0.000
2 I 0.756 0.244 0.000
3 I 0.723 0.723 0.555
4 Cs 0.750 0.250 0.500
5 I 0.756 0.756 0.000
6 Pt 0.000 0.000 0.000
7 I 0.244 0.244 0.000
8 I 0.244 0.756 0.000
9 Cs 0.250 0.750 0.500
10 I 0.277 0.277 0.445

Values from the calculation:
size of the total moment: 1.58 μB per formula unit
space-group type: I4/mmm (139)
formation energy from raw total energies: -612.5 meV per atom

CsRb2NbI6 | PBE-GGA | optimized geometry

Unit cell a=9.111 b=9.111 c=9.111 alpha=60.00 beta=60.00 gamma=90.00
Fractional coordinates of all 10 atoms:
1 I 0.722 0.722 0.557
2 Rb 0.250 0.750 0.500
3 I 0.722 0.722 0.000
4 I 0.278 0.278 0.443
5 Rb 0.750 0.250 0.500
6 Nb 0.500 0.500 0.000
7 I 0.278 0.722 0.000
8 Cs 0.000 0.000 0.000
9 I 0.278 0.278 0.000
10 I 0.722 0.278 0.000

Values from the calculation:
size of the total moment: 2.00 μB per formula unit
space-group type: Fm-3m (225)
formation energy from raw total energies: -968.1 meV per atom

CsNbRh2I | PBE-GGA | optimized geometry

Unit cell a=4.833 b=8.149 c=4.833 alpha=90.00 beta=90.00 gamma=90.00
Fractional coordinates of all 5 atoms:
1 Rh 0.000 0.000 0.500
2 Rh 0.500 0.000 0.000
3 I 0.500 0.500 0.500
4 Cs 0.000 0.500 0.000
5 Nb 0.000 0.000 0.000

Values from the calculation:
size of the total moment: 0.05 μB per formula unit
space-group type: P4/mmm (123)
formation energy from raw total energies: 767.0 meV per atom

CsNbS2I | PBE-GGA | optimized geometry

Unit cell a=5.334 b=6.928 c=5.334 alpha=90.00 beta=90.00 gamma=90.00
Fractional coordinates of all 5 atoms:
1 S 0.500 0.000 0.000
2 Cs 0.000 0.000 0.000
3 Nb 0.500 0.500 0.500
4 I 0.000 0.500 0.000
5 S 0.000 0.000 0.500

Values from the calculation:
size of the total moment: 3.34 μB per formula unit
space-group type: P4/mmm (123)
formation energy from raw total energies: 1422.5 meV per atom